[1]
Computed, not measured: a geometry-optimized LiPu2O2F2 structure at the PBE level of DFT.

Geometry as extended XYZ:
```
7
Lattice="3.866 0.000 0.000 0.000 3.866 0.000 -1.933 -1.933 6.280" Properties=species:S:1:pos:R:3 pbc="T T T"
Li 0.000 0.000 0.000
Pu 0.000 0.000 4.784
Pu 1.933 1.933 1.496
O 0.000 1.933 0.000
O 1.933 0.000 0.000
F 0.000 0.000 2.319
F 1.933 1.933 3.961
```

Total energy   -63.3 eV/f.u.
Raw formation energy   -2.723 eV per atom
Space-group type   No. 139

=====

[2]
Computed, not measured: a geometry-optimized LiPuO2F structure at the PBE level of DFT.

Geometry as extended XYZ:
```
10
Lattice="-2.220 -0.286 -2.705 5.929 -1.040 -2.476 -0.553 -5.652 1.050" Properties=species:S:1:pos:R:3 pbc="T T T"
Li 0.000 0.000 0.000
Li -0.276 -2.826 0.525
Pu 0.361 -4.844 -2.063
Pu 2.796 -2.133 -2.069
O 1.057 -5.957 -0.238
O 2.100 -1.020 -3.894
O 1.316 -3.306 -0.730
O 1.841 -3.671 -3.401
F -1.432 -4.404 -0.638
F 4.589 -2.573 -3.493
```

Total energy   -42.5 eV/f.u.
Raw formation energy   -2.893 eV per atom
Space-group type   No. 63

=====

[3]
Computed, not measured: a geometry-optimized RbLiOF2 structure at the PBE level of DFT.

Geometry as extended XYZ:
```
5
Lattice="4.287 0.000 0.000 0.000 4.287 0.000 0.000 0.000 3.984" Properties=species:S:1:pos:R:3 pbc="T T T"
Li 0.000 0.000 0.000
O 0.000 0.000 1.992
Rb 2.144 2.144 1.992
F 0.000 2.144 0.000
F 2.144 0.000 0.000
```

Total energy   -19.7 eV/f.u.
Raw formation energy   -1.626 eV per atom
Space-group type   No. 123